(1)
The following is a DFT calculation (PBE) of an optimized crystal structure of Rb2ZnHI6.

Results
**Total energy**: -20.76 eV/cell
**Density of states at the Fermi level**: 4.9 states/eV/cell

```
data_Rb2ZnHI6
_chemical_formula_sum 'Rb2 Zn1 H1 I6'
_cell_length_a 7.685
_cell_length_b 7.685
_cell_length_c 8.422
_cell_angle_alpha 62.85
_cell_angle_beta 62.85
_cell_angle_gamma 90.00
_symmetry_space_group_name_H-M 'P 1'
_symmetry_Int_Tables_number 1
loop_
_symmetry_equiv_pos_as_xyz
'x,y,z'
loop_
_atom_site_label
_atom_site_fract_x
_atom_site_fract_y
_atom_site_fract_z
_atom_site_occupancy
Rb1 0.750 0.250 0.500 1
Rb2 0.250 0.750 0.500 1
Zn1 0.000 0.000 0.000 1
I1 0.730 0.270 0.000 1
I2 0.270 0.730 0.000 1
I3 0.788 0.788 0.424 1
I4 0.212 0.212 0.576 1
I5 0.270 0.270 0.000 1
I6 0.730 0.730 0.000 1
H1 0.500 0.500 0.000 1
```


(2)
The following is a DFT calculation (PBE) of an optimized crystal structure of Re2H2I.

Results
**Total energy**: -53.41 eV/cell
**Density of states at the Fermi level**: 10.1 states/eV/cell

```
data_Re2H2I
_chemical_formula_sum 'Re4 H4 I2'
_cell_length_a 6.263
_cell_length_b 6.263
_cell_length_c 3.120
_cell_angle_alpha 90.00
_cell_angle_beta 90.00
_cell_angle_gamma 90.00
_symmetry_space_group_name_H-M 'P 1'
_symmetry_Int_Tables_number 1
loop_
_symmetry_equiv_pos_as_xyz
'x,y,z'
loop_
_atom_site_label
_atom_site_fract_x
_atom_site_fract_y
_atom_site_fract_z
_atom_site_occupancy
H1 0.585 0.085 0.000 1
H2 0.915 0.585 0.000 1
H3 0.085 0.415 0.000 1
H4 0.415 0.915 0.000 1
Re1 0.138 0.638 0.500 1
Re2 0.362 0.138 0.500 1
Re3 0.862 0.362 0.500 1
Re4 0.638 0.862 0.500 1
I1 0.000 0.000 0.000 1
I2 0.500 0.500 0.000 1
```


(3)
The following is a DFT calculation (PBE) of an optimized crystal structure of ReH2I.

Results
**Total energy**: -34.27 eV/cell
**Density of states at the Fermi level**: 6.7 states/eV/cell

```
data_ReH2I
_chemical_formula_sum 'Re2 H4 I2'
_cell_length_a 5.886
_cell_length_b 5.886
_cell_length_c 5.107
_cell_angle_alpha 54.81
_cell_angle_beta 54.81
_cell_angle_gamma 90.00
_symmetry_space_group_name_H-M 'P 1'
_symmetry_Int_Tables_number 1
loop_
_symmetry_equiv_pos_as_xyz
'x,y,z'
loop_
_atom_site_label
_atom_site_fract_x
_atom_site_fract_y
_atom_site_fract_z
_atom_site_occupancy
I1 0.500 0.500 0.000 1
I2 0.250 0.750 0.500 1
H1 0.756 0.125 0.250 1
H2 0.994 0.625 0.250 1
H3 0.875 0.006 0.750 1
H4 0.375 0.244 0.750 1
Re1 0.000 0.000 0.000 1
Re2 0.750 0.250 0.500 1
```


(4)
The following is a DFT calculation (PBE) of an optimized crystal structure of Re2H2I.

Results
**Total energy**: -28.19 eV/cell
**Density of states at the Fermi level**: 4.6 states/eV/cell

```
data_Re2H2I
_chemical_formula_sum 'Re2 H2 I1'
_cell_length_a 3.790
_cell_length_b 3.790
_cell_length_c 5.622
_cell_angle_alpha 70.30
_cell_angle_beta 70.30
_cell_angle_gamma 90.00
_symmetry_space_group_name_H-M 'P 1'
_symmetry_Int_Tables_number 1
loop_
_symmetry_equiv_pos_as_xyz
'x,y,z'
loop_
_atom_site_label
_atom_site_fract_x
_atom_site_fract_y
_atom_site_fract_z
_atom_site_occupancy
H1 0.693 0.693 0.614 1
H2 0.307 0.307 0.386 1
I1 0.000 0.000 0.000 1
Re1 0.750 0.250 0.500 1
Re2 0.250 0.750 0.500 1
```


(5)
The following is a DFT calculation (PBE) of an optimized crystal structure of ReH2I.

Results
**Total energy**: -13.80 eV/cell
**Density of states at the Fermi level**: 2.3 states/eV/cell

```
data_ReH2I
_chemical_formula_sum 'Re1 H2 I1'
_cell_length_a 4.068
_cell_length_b 4.068
_cell_length_c 4.068
_cell_angle_alpha 60.00
_cell_angle_beta 60.00
_cell_angle_gamma 60.00
_symmetry_space_group_name_H-M 'P 1'
_symmetry_Int_Tables_number 1
loop_
_symmetry_equiv_pos_as_xyz
'x,y,z'
loop_
_atom_site_label
_atom_site_fract_x
_atom_site_fract_y
_atom_site_fract_z
_atom_site_occupancy
I1 0.000 0.000 0.000 1
H1 0.750 0.750 0.750 1
H2 0.250 0.250 0.250 1
Re1 0.500 0.500 0.500 1
```


(6)
The following is a DFT calculation (PBE) of an optimized crystal structure of Re2H2I.

Results
**Total energy**: -28.37 eV/cell
**Density of states at the Fermi level**: 5.0 states/eV/cell

```
data_Re2H2I
_chemical_formula_sum 'Re2 H2 I1'
_cell_length_a 3.271
_cell_length_b 3.271
_cell_length_c 6.395
_cell_angle_alpha 75.18
_cell_angle_beta 75.18
_cell_angle_gamma 90.00
_symmetry_space_group_name_H-M 'P 1'
_symmetry_Int_Tables_number 1
loop_
_symmetry_equiv_pos_as_xyz
'x,y,z'
loop_
_atom_site_label
_atom_site_fract_x
_atom_site_fract_y
_atom_site_fract_z
_atom_site_occupancy
H1 0.750 0.250 0.500 1
H2 0.250 0.750 0.500 1
Re1 0.320 0.320 0.360 1
Re2 0.680 0.680 0.640 1
I1 0.000 0.000 0.000 1
```


(7)
The following is a DFT calculation (PBE) of an optimized crystal structure of Re2H2I.

Results
**Total energy**: -54.77 eV/cell
**Density of states at the Fermi level**: 6.4 states/eV/cell

```
data_Re2H2I
_chemical_formula_sum 'Re4 H4 I2'
_cell_length_a 6.974
_cell_length_b 6.974
_cell_length_c 2.935
_cell_angle_alpha 90.00
_cell_angle_beta 90.00
_cell_angle_gamma 90.00
_symmetry_space_group_name_H-M 'P 1'
_symmetry_Int_Tables_number 1
loop_
_symmetry_equiv_pos_as_xyz
'x,y,z'
loop_
_atom_site_label
_atom_site_fract_x
_atom_site_fract_y
_atom_site_fract_z
_atom_site_occupancy
H1 0.597 0.903 0.500 1
H2 0.097 0.597 0.500 1
H3 0.903 0.403 0.500 1
H4 0.403 0.097 0.500 1
Re1 0.116 0.384 0.000 1
Re2 0.384 0.884 0.000 1
Re3 0.616 0.116 0.000 1
Re4 0.884 0.616 0.000 1
I1 0.000 0.000 0.000 1
I2 0.500 0.500 0.000 1
```


(8)
The following is a DFT calculation (PBE) of an optimized crystal structure of ReSbHI2.

Results
**Total energy**: -17.86 eV/cell
**Density of states at the Fermi level**: 3.1 states/eV/cell

```
data_ReSbHI2
_chemical_formula_sum 'Re1 Sb1 H1 I2'
_cell_length_a 5.710
_cell_length_b 5.710
_cell_length_c 5.095
_cell_angle_alpha 90.00
_cell_angle_beta 90.00
_cell_angle_gamma 90.00
_symmetry_space_group_name_H-M 'P 1'
_symmetry_Int_Tables_number 1
loop_
_symmetry_equiv_pos_as_xyz
'x,y,z'
loop_
_atom_site_label
_atom_site_fract_x
_atom_site_fract_y
_atom_site_fract_z
_atom_site_occupancy
H1 0.500 0.500 0.500 1
I1 0.500 0.000 0.000 1
I2 0.000 0.500 0.000 1
Re1 0.000 0.000 0.000 1
Sb1 0.000 0.000 0.500 1
```


(9)
The following is a DFT calculation (PBE) of an optimized crystal structure of ReSbHI2.

Results
**Total energy**: -16.10 eV/cell
**Density of states at the Fermi level**: 4.1 states/eV/cell

```
data_ReSbHI2
_chemical_formula_sum 'Re1 Sb1 H1 I2'
_cell_length_a 5.211
_cell_length_b 5.211
_cell_length_c 3.764
_cell_angle_alpha 90.00
_cell_angle_beta 90.00
_cell_angle_gamma 90.00
_symmetry_space_group_name_H-M 'P 1'
_symmetry_Int_Tables_number 1
loop_
_symmetry_equiv_pos_as_xyz
'x,y,z'
loop_
_atom_site_label
_atom_site_fract_x
_atom_site_fract_y
_atom_site_fract_z
_atom_site_occupancy
H1 0.000 0.000 0.000 1
I1 0.500 0.000 0.000 1
I2 0.000 0.500 0.000 1
Sb1 0.000 0.000 0.500 1
Re1 0.500 0.500 0.500 1
```


(10)
The following is a DFT calculation (PBE) of an optimized crystal structure of ReSb2HI.

Results
**Total energy**: -20.63 eV/cell
**Density of states at the Fermi level**: 4.2 states/eV/cell

```
data_ReSb2HI
_chemical_formula_sum 'Re1 Sb2 H1 I1'
_cell_length_a 5.090
_cell_length_b 5.090
_cell_length_c 6.036
_cell_angle_alpha 90.00
_cell_angle_beta 90.00
_cell_angle_gamma 90.00
_symmetry_space_group_name_H-M 'P 1'
_symmetry_Int_Tables_number 1
loop_
_symmetry_equiv_pos_as_xyz
'x,y,z'
loop_
_atom_site_label
_atom_site_fract_x
_atom_site_fract_y
_atom_site_fract_z
_atom_site_occupancy
I1 0.000 0.000 0.500 1
H1 0.500 0.500 0.500 1
Re1 0.000 0.000 0.000 1
Sb1 0.500 0.000 0.000 1
Sb2 0.000 0.500 0.000 1
```


(11)
The following is a DFT calculation (PBE) of an optimized crystal structure of ReSb2HI.

Results
**Total energy**: -19.34 eV/cell
**Density of states at the Fermi level**: 3.6 states/eV/cell

```
data_ReSb2HI
_chemical_formula_sum 'Re1 Sb2 H1 I1'
_cell_length_a 4.355
_cell_length_b 4.355
_cell_length_c 5.286
_cell_angle_alpha 90.00
_cell_angle_beta 90.00
_cell_angle_gamma 90.00
_symmetry_space_group_name_H-M 'P 1'
_symmetry_Int_Tables_number 1
loop_
_symmetry_equiv_pos_as_xyz
'x,y,z'
loop_
_atom_site_label
_atom_site_fract_x
_atom_site_fract_y
_atom_site_fract_z
_atom_site_occupancy
Sb1 0.000 0.500 0.000 1
Sb2 0.500 0.000 0.000 1
I1 0.000 0.000 0.500 1
H1 0.000 0.000 0.000 1
Re1 0.500 0.500 0.500 1
```


(12)
The following is a DFT calculation (PBE) of an optimized crystal structure of ReTeHI2.

Results
**Total energy**: -14.53 eV/cell
**Density of states at the Fermi level**: 4.3 states/eV/cell

```
data_ReTeHI2
_chemical_formula_sum 'Re1 Te1 H1 I2'
_cell_length_a 5.338
_cell_length_b 5.338
_cell_length_c 3.707
_cell_angle_alpha 90.00
_cell_angle_beta 90.00
_cell_angle_gamma 90.00
_symmetry_space_group_name_H-M 'P 1'
_symmetry_Int_Tables_number 1
loop_
_symmetry_equiv_pos_as_xyz
'x,y,z'
loop_
_atom_site_label
_atom_site_fract_x
_atom_site_fract_y
_atom_site_fract_z
_atom_site_occupancy
Re1 0.500 0.500 0.500 1
Te1 0.000 0.000 0.500 1
I1 0.500 0.000 0.000 1
I2 0.000 0.500 0.000 1
H1 0.000 0.000 0.000 1
```


| no. | spin magnetization (Bohr magnetons per cell) |
| --- | --- |
| 1 | 0.00 |
| 2 | 0.00 |
| 3 | 0.00 |
| 4 | 0.00 |
| 5 | 0.95 |
| 6 | 0.01 |
| 7 | 0.00 |
| 8 | 2.55 |
| 9 | 0.00 |
| 10 | 0.60 |
| 11 | 1.72 |
| 12 | 0.00 |